Compound: TaCdInP2
Source: Alexandria via LeMat-Bulk
Functional: PBE
Structure: optimized geometry

Unit cell a=4.9669 b=4.9669 c=5.1463 alpha=90.00 beta=90.00 gamma=90.00
Closest atoms and distances in Å follow each position.
Fractional coordinates of all 5 atoms:
Ta: 0.0000 0.0000 0.0000  4 Cd 3.51, 8 P 3.58
Cd: 0.5000 0.5000 0.0000  2 In 2.57
In: 0.5000 0.5000 0.5000  4 P 2.48, 2 Cd 2.57
P: 0.0000 0.5000 0.5000  2 In 2.48
P: 0.5000 0.0000 0.5000  2 In 2.48

## Properties
Its space group is P4/mmm. The calculation puts the total energy at -18.22 eV per formula unit. For the density of states at the Fermi level, the calculation gives 5.2 states/eV per cell. Its total magnetization is 0.412 μB per atom.


Compound: Ta2CdInP
Source: Alexandria via LeMat-Bulk
Functional: PBE
Structure: optimized geometry

Unit cell a=5.1609 b=5.1609 c=4.8683 alpha=90.00 beta=90.00 gamma=90.00
Closest atoms and distances in Å follow each position.
Fractional coordinates of all 5 atoms:
Ta: 0.0000 0.5000 0.0000  2 In 2.58
Ta: 0.5000 0.0000 0.0000  2 In 2.58
Cd: 0.0000 0.0000 0.5000  8 Ta 3.55, 4 P 3.65
In: 0.5000 0.5000 0.0000  2 P 2.43, 4 Ta 2.58
P: 0.5000 0.5000 0.5000  2 In 2.43

## Properties
Its space group is P4/mmm. The calculation puts the total energy at -22.92 eV per formula unit. For the density of states at the Fermi level, the calculation gives 7.3 states/eV per cell. Its total magnetization is 0.299 μB per atom.


Compound: PaCd2In
Source: Alexandria via LeMat-Bulk
Functional: PBE
Structure: optimized geometry

Unit cell a=4.5666 b=4.5666 c=4.7561 alpha=90.00 beta=90.00 gamma=90.00
Closest atoms and distances in Å follow each position.
Fractional coordinates of all 4 atoms:
Pa: 0.0000 0.0000 0.0000  4 In 3.23, 8 Cd 3.30
Cd: 0.0000 0.5000 0.5000  4 Cd 3.23, 4 In 3.30, 4 Pa 3.30
Cd: 0.5000 0.0000 0.5000  4 Cd 3.23, 4 In 3.30, 4 Pa 3.30
In: 0.5000 0.5000 0.0000  4 Pa 3.23, 8 Cd 3.30

## Properties
Its space group is P4/mmm. The calculation puts the total energy at -13.77 eV per formula unit. For the density of states at the Fermi level, the calculation gives 6.5 states/eV per cell. Its total magnetization is 0.231 μB per atom.


Compound: PaCd2In
Source: Alexandria via LeMat-Bulk
Functional: PBE
Structure: optimized geometry

Unit cell a=11.9139 b=11.9139 c=11.9139 alpha=15.29 beta=15.29 gamma=15.29
Closest atoms and distances in Å follow each position.
Fractional coordinates of all 4 atoms:
Pa: 0.0000 0.0000 0.0000  6 Pa 3.17, 2 Cd 3.21
Cd: 0.0909 0.0909 0.0909  6 Cd 3.17, 1 Pa 3.21, 3 In 3.24
Cd: 0.9091 0.9091 0.9091  6 Cd 3.17, 1 Pa 3.21, 3 In 3.24
In: 0.5000 0.5000 0.5000  6 In 3.17, 6 Cd 3.24

## Properties
Its space group is R-3m. The calculation puts the total energy at -12.95 eV per formula unit. For the density of states at the Fermi level, the calculation gives 4.8 states/eV per cell. Its total magnetization is 0.194 μB per atom.


Compound: Pa2CdIn
Source: Alexandria via LeMat-Bulk
Functional: PBE
Structure: optimized geometry

Unit cell a=12.4108 b=12.4108 c=12.4108 alpha=14.50 beta=14.50 gamma=14.50
Closest atoms and distances in Å follow each position.
Fractional coordinates of all 4 atoms:
Pa: 0.0900 0.0900 0.0900  6 Pa 3.13, 1 Cd 3.31, 3 In 3.35
Pa: 0.9100 0.9100 0.9100  6 Pa 3.13, 1 Cd 3.31, 3 In 3.35
Cd: 0.0000 0.0000 0.0000  6 Cd 3.13, 2 Pa 3.31
In: 0.5000 0.5000 0.5000  6 In 3.13, 6 Pa 3.35

## Properties
Its space group is R-3m. The calculation puts the total energy at -21.74 eV per formula unit. For the density of states at the Fermi level, the calculation gives 7.6 states/eV per cell. Its total magnetization is 0.184 μB per atom.


Compound: PaCd2In
Source: Alexandria via LeMat-Bulk
Functional: PBE
Structure: optimized geometry

Unit cell a=3.5537 b=3.5537 c=7.8345 alpha=90.00 beta=90.00 gamma=90.00
Closest atoms and distances in Å follow each position.
Fractional coordinates of all 4 atoms:
Pa: 0.0000 0.0000 0.0000  8 Cd 3.27, 4 Pa 3.55
Cd: 0.5000 0.5000 0.2675  4 In 3.10, 4 Pa 3.27
Cd: 0.5000 0.5000 0.7325  4 In 3.10, 4 Pa 3.27
In: 0.0000 0.0000 0.5000  8 Cd 3.10

## Properties
Its space group is P4/mmm. The calculation puts the total energy at -13.38 eV per formula unit. For the density of states at the Fermi level, the calculation gives 5.9 states/eV per cell. Its total magnetization is 0.330 μB per atom.


Compound: Pa2CdIn
Source: Alexandria via LeMat-Bulk
Functional: PBE
Structure: optimized geometry

Unit cell a=4.3247 b=4.3247 c=5.1299 alpha=90.00 beta=90.00 gamma=90.00
Closest atoms and distances in Å follow each position.
Fractional coordinates of all 4 atoms:
Pa: 0.0000 0.5000 0.0000  4 Pa 3.06, 4 In 3.35, 4 Cd 3.35
Pa: 0.5000 0.0000 0.0000  4 Pa 3.06, 4 In 3.35, 4 Cd 3.35
Cd: 0.0000 0.0000 0.5000  4 In 3.06, 8 Pa 3.35
In: 0.5000 0.5000 0.5000  4 Cd 3.06, 8 Pa 3.35

## Properties
Its space group is P4/mmm. The calculation puts the total energy at -22.45 eV per formula unit. For the density of states at the Fermi level, the calculation gives 7.0 states/eV per cell. Its total magnetization is 0.157 μB per atom.


Compound: PaCd2In
Source: Alexandria via LeMat-Bulk
Functional: PBE
Structure: optimized geometry

Unit cell a=5.1438 b=5.1438 c=5.1438 alpha=60.00 beta=60.00 gamma=60.00
Closest atoms and distances in Å follow each position.
Fractional coordinates of all 4 atoms:
Pa: 0.0000 0.0000 0.0000  8 Cd 3.15
Cd: 0.2500 0.2500 0.2500  4 In 3.15, 4 Pa 3.15
Cd: 0.7500 0.7500 0.7500  4 Pa 3.15, 4 In 3.15
In: 0.5000 0.5000 0.5000  8 Cd 3.15

## Properties
Its space group is Fm-3m. The calculation puts the total energy at -13.41 eV per formula unit. For the density of states at the Fermi level, the calculation gives 3.2 states/eV per cell. Its total magnetization is 0.000 μB per atom.